(1)
A plane-wave DFT calculation with PBE was carried out for Pm2Te2O after structural relaxation.

abc: 6.1254 7.7344 7.7344
angles: 55.53 66.67 66.67
Atoms (fractional coordinates):
Pm 0.0967 0.5932 0.2134
Pm 0.9033 0.4068 0.7866
Pm 0.4033 0.7866 0.4068
Pm 0.5967 0.2134 0.5932
Te 0.3557 0.2921 0.9966
Te 0.6443 0.7079 0.0034
Te 0.1443 0.0034 0.7079
Te 0.8557 0.9966 0.2921
O 0.2500 0.5000 0.5000
O 0.7500 0.5000 0.5000

For the raw total energy, the calculation gives -6.253 eV/atom. As for the space group: Ibam. As for the theoretical density: 6.899 g cm⁻³. The value obtained for the energy relative to the elements, uncorrected is -2104 meV per atom.

---

(2)
A plane-wave DFT calculation with PBE was carried out for Tb12Sm3Er after structural relaxation.

abc: 5.0482 5.0482 20.1766
angles: 90.00 90.00 90.00
Atoms (fractional coordinates):
Tb 0.5000 0.5000 0.0000
Tb 0.5000 0.5000 0.2487
Tb 0.5000 0.5000 0.5000
Tb 0.5000 0.5000 0.7513
Tb 0.5000 0.0000 0.1235
Tb 0.5000 0.0000 0.3744
Tb 0.5000 0.0000 0.6256
Tb 0.5000 0.0000 0.8765
Tb 0.0000 0.5000 0.1235
Tb 0.0000 0.5000 0.3744
Tb 0.0000 0.5000 0.6256
Tb 0.0000 0.5000 0.8765
Sm 0.0000 0.0000 0.2491
Sm 0.0000 0.0000 0.5000
Sm 0.0000 0.0000 0.7509
Er 0.0000 0.0000 0.0000

For the raw total energy, the calculation gives -4.626 eV/atom. As for the space group: P4/mmm. As for the formation energy: 0.017 eV/atom. As for the theoretical density: 8.156 g cm⁻³.

---

(3)
A plane-wave DFT calculation with PBE was carried out for GeAu2N after structural relaxation.

abc: 4.9391 4.9391 7.1899
angles: 69.91 69.91 90.00
Atoms (fractional coordinates):
Ge 0.0000 0.0000 0.0000
Ge 0.7500 0.2500 0.5000
Au 0.5130 0.1250 0.2500
Au 0.2370 0.6250 0.2500
Au 0.3750 0.4870 0.7500
Au 0.8750 0.7630 0.7500
N 0.5000 0.5000 0.0000
N 0.2500 0.7500 0.5000

For the raw total energy, the calculation gives -4.075 eV/atom. As for the space group: I-42d. As for the theoretical density: 10.410 g cm⁻³. The value obtained for the energy relative to the elements, uncorrected is 799 meV per atom.

---

Question: Look up the raw total energy of the third one.
Answer: -4.075 eV/atom

---

Question: Which value of theoretical density does entry 3 give?
Answer: 10.410 g cm⁻³

---

Repeat the second record exactly.
A plane-wave DFT calculation with PBE was carried out for Tb12Sm3Er after structural relaxation.

abc: 5.0482 5.0482 20.1766
angles: 90.00 90.00 90.00
Atoms (fractional coordinates):
Tb 0.5000 0.5000 0.0000
Tb 0.5000 0.5000 0.2487
Tb 0.5000 0.5000 0.5000
Tb 0.5000 0.5000 0.7513
Tb 0.5000 0.0000 0.1235
Tb 0.5000 0.0000 0.3744
Tb 0.5000 0.0000 0.6256
Tb 0.5000 0.0000 0.8765
Tb 0.0000 0.5000 0.1235
Tb 0.0000 0.5000 0.3744
Tb 0.0000 0.5000 0.6256
Tb 0.0000 0.5000 0.8765
Sm 0.0000 0.0000 0.2491
Sm 0.0000 0.0000 0.5000
Sm 0.0000 0.0000 0.7509
Er 0.0000 0.0000 0.0000

For the raw total energy, the calculation gives -4.626 eV/atom. As for the space group: P4/mmm. As for the formation energy: 0.017 eV/atom. As for the theoretical density: 8.156 g cm⁻³.